{
  "formula": "La3Y2PaAs6",
  "functional": "PBE",
  "state": "optimized geometry",
  "cell": [[-7.046, -1.949, 0.291], [4.765, -4.059, -3.788], [2.045, -1.801, 6.853]],
  "species": ["As", "As", "As", "As", "As", "As", "Y", "Y", "La", "La", "La", "Pa"],
  "frac_coords": [[0.595, 0.923, 0.767], [0.249, 0.249, 0.767], [0.923, 0.595, 0.767], [0.751, 0.751, 0.233], [0.077, 0.405, 0.233], [0.405, 0.077, 0.233], [0.334, 0.666, 0.000], [0.666, 0.334, 0.000], [0.168, 0.832, 0.500], [0.832, 0.168, 0.500], [0.500, 0.500, 0.500], [0.000, 0.000, 0.000]],
  "e_tot_ev_per_atom": -6.92,
  "e_form_mev_per_atom": -1492,
  "total_magnetization_mub_per_fu": 0.0
}